1.
## Y2TmMg3Al2Zn (PBE)

Data for Y2TmMg3Al2Zn after structural relaxation.

## Properties
The calculation puts the density at 4.31 g/cm3. As for the crystal system: orthorhombic. For the electronic total energy, the calculation gives -3.75 eV/atom. The symmetry is Amm2, No. 38.

```
Y2TmMg3Al2Zn
1.0
4.434 0.000 0.000
0.000 6.342 3.691
0.000 -6.342 3.691
Mg Y Al Tm Zn
3 2 2 1 1
Cartesian
2.217 -1.529 0.892 Mg
2.217 0.000 5.603 Mg
2.217 1.529 0.892 Mg
0.000 2.668 5.821 Y
0.000 -2.668 5.821 Y
2.217 2.098 3.683 Al
2.217 -2.098 3.683 Al
0.000 0.000 3.103 Tm
0.000 0.000 0.029 Zn
```

2.
## CsKReS3 (PBE)

Data for CsKReS3 after structural relaxation.

## Properties
The calculation puts the density at 4.03 g/cm3. As for the crystal system: triclinic. For the electronic total energy, the calculation gives -5.22 eV/atom. The symmetry is P-1, No. 2.

```
CsKReS3
1.0
6.927 0.000 0.000
3.462 6.924 0.000
3.463 -0.638 7.808
K S Cs Re
2 6 2 2
Cartesian
8.638 5.493 1.056 K
5.213 0.794 6.753 K
5.279 3.918 5.756 S
10.310 6.555 3.948 S
8.696 0.535 6.947 S
3.541 -0.268 3.861 S
8.572 2.368 2.053 S
5.155 5.752 0.861 S
8.724 3.631 5.402 Cs
5.127 2.656 2.407 Cs
1.674 0.192 2.634 Re
12.177 6.095 5.175 Re
```

3.
## SrTmCd (PBE)

Data for SrTmCd after structural relaxation.

## Properties
The calculation puts the density at 5.70 g/cm3. As for the crystal system: cubic. The symmetry is F-43m, No. 216. For the energy above the most stable polymorph in this dataset, the calculation gives 0.000 eV/atom.

```
SrTmCd
1.0
-5.272 -0.553 0.618
-2.944 4.141 1.634
-3.350 2.396 -3.394
Cd Tm Sr
1 1 1
Cartesian
0.000 0.000 0.000 Cd
-8.674 4.488 -0.857 Tm
-2.892 1.496 -0.286 Sr
```

4.
## PmAlB (PBE)

Data for PmAlB after structural relaxation.

## Properties
The calculation puts the density at 5.53 g/cm3. As for the crystal system: cubic. The symmetry is F-43m, No. 216. For the energy above the most stable polymorph in this dataset, the calculation gives 0.000 eV/atom.

```
PmAlB
1.0
0.000 3.017 3.017
3.017 0.000 3.017
3.017 3.017 0.000
Al Pm B
1 1 1
Cartesian
1.508 1.508 1.508 Al
4.525 4.525 4.525 Pm
0.000 0.000 0.000 B
```

5.
## TlCu2BSe4 (PBE)

Data for TlCu2BSe4 after structural relaxation.

## Properties
The calculation puts the density at 6.29 g/cm3. As for the crystal system: tetragonal. For the electronic total energy, the calculation gives -3.95 eV/atom. The symmetry is I-4, No. 82.

```
TlCu2BSe4
1.0
-2.787 2.787 5.596
2.787 -2.787 5.596
2.787 2.787 -5.596
Tl Cu Se B
1 2 4 1
Cartesian
0.000 2.787 2.798 Tl
2.787 0.000 2.798 Cu
0.000 0.000 0.000 Cu
1.687 1.421 1.166 Se
1.100 1.366 6.762 Se
1.366 -1.100 4.430 Se
1.421 3.887 -1.166 Se
0.000 0.000 5.596 B
```

6.
## Sm2CdCu2 (PBE)

Data for Sm2CdCu2 after structural relaxation.

## Properties
For the formation enthalpy at 0 K, the calculation gives -1.4 eV/f.u. The calculation puts the density at 8.10 g/cm3. As for the crystal system: tetragonal. The symmetry is P4/mbm, No. 127.

```
Sm2CdCu2
1.0
-0.770 -6.575 -3.766
3.831 2.928 -5.895
3.278 -1.249 1.510
Cu Cd Sm
4 2 4
Cartesian
3.078 0.079 -6.615 Cu
1.700 -3.967 -6.969 Cu
1.362 0.320 -2.691 Cu
-0.016 -3.726 -3.045 Cu
0.000 0.000 0.000 Cd
1.531 -1.823 -4.830 Cd
2.053 -2.262 -1.497 Sm
2.254 -5.102 -4.281 Sm
4.287 -2.633 -6.653 Sm
4.086 0.207 -3.869 Sm
```

7.
## HoThTe (PBE)

Data for HoThTe after structural relaxation.

## Properties
The calculation puts the density at 8.90 g/cm3. As for the crystal system: cubic. For the electronic total energy, the calculation gives -5.34 eV/atom. The symmetry is F-43m, No. 216.

```
HoThTe
1.0
0.000 3.658 3.658
3.658 0.000 3.658
3.658 3.658 0.000
Ho Te Th
1 1 1
Cartesian
1.829 1.829 1.829 Ho
0.000 0.000 0.000 Te
5.487 5.487 5.487 Th
```

8.
## TlCu15 (PBE)

Data for TlCu15 after structural relaxation.

## Properties
The calculation puts the density at 7.03 g/cm3. As for the crystal system: orthorhombic. The symmetry is Pmma, No. 51. For the energy above the most stable polymorph in this dataset, the calculation gives 0.000 eV/atom.

```
TlCu15
1.0
3.607 0.000 0.000
0.000 3.606 0.000
0.000 0.000 42.066
Cu Tl
30 2
Cartesian
0.902 0.000 9.872 Cu
2.705 1.803 13.419 Cu
2.705 1.803 6.268 Cu
0.902 1.803 32.193 Cu
0.902 1.803 8.070 Cu
2.705 0.000 0.894 Cu
2.705 0.000 32.195 Cu
0.902 0.000 37.601 Cu
2.705 0.000 35.796 Cu
0.902 0.000 30.362 Cu
0.902 1.803 28.648 Cu
2.705 1.803 37.601 Cu
2.705 1.803 41.173 Cu
0.902 0.000 6.271 Cu
2.705 0.000 39.388 Cu
0.902 1.803 0.893 Cu
0.902 1.803 4.465 Cu
0.902 0.000 2.678 Cu
0.902 1.803 11.705 Cu
2.705 0.000 8.070 Cu
0.902 1.803 39.389 Cu
2.705 1.803 33.997 Cu
2.705 1.803 9.873 Cu
0.902 0.000 41.173 Cu
2.705 0.000 4.466 Cu
2.705 1.803 30.362 Cu
2.705 0.000 11.705 Cu
0.902 0.000 33.996 Cu
0.902 1.803 35.798 Cu
2.705 1.803 2.677 Cu
2.705 0.000 27.549 Tl
0.902 0.000 14.518 Tl
```

9.
## LiCoGe2 (PBE)

Data for LiCoGe2 after structural relaxation.

## Properties
The calculation puts the density at 6.16 g/cm3. As for the crystal system: cubic. For the electronic total energy, the calculation gives -4.38 eV/atom. The symmetry is F-43m, No. 216.

```
LiCoGe2
1.0
0.000 3.053 3.053
3.053 0.000 3.053
3.053 3.053 0.000
Ge Co Li
2 1 1
Cartesian
0.000 0.000 0.000 Ge
4.580 4.580 4.580 Ge
1.527 1.527 1.527 Co
3.053 3.053 3.053 Li
```

10.
## Hf3B2As (PBE)

Data for Hf3B2As after structural relaxation.

## Properties
The calculation puts the density at 10.97 g/cm3. As for the crystal system: hexagonal. For the electronic total energy, the calculation gives -8.69 eV/atom. The symmetry is P6_3/mmc, No. 194.

```
Hf3B2As
1.0
3.468 0.000 0.000
-1.734 3.004 0.000
0.000 0.000 18.375
Hf As B
6 2 4
Cartesian
1.734 1.001 2.713 Hf
0.000 0.000 9.187 Hf
1.734 1.001 6.474 Hf
0.000 2.002 15.662 Hf
0.000 2.002 11.901 Hf
0.000 0.000 0.000 Hf
0.000 0.000 4.594 As
0.000 0.000 13.781 As
1.734 1.001 10.620 B
1.734 1.001 16.943 B
0.000 2.002 7.755 B
0.000 2.002 1.432 B
```

11.
## CsPr (PBE)

Data for CsPr after structural relaxation.

## Properties
The calculation puts the density at 4.42 g/cm3. As for the crystal system: cubic. The symmetry is Fm-3m, No. 225. For the energy above the most stable polymorph in this dataset, the calculation gives 0.354 eV/atom.

```
CsPr
1.0
0.000 3.718 3.718
3.718 0.000 3.718
3.718 3.718 0.000
Pr Cs
1 1
Cartesian
3.718 3.718 3.718 Pr
0.000 0.000 0.000 Cs
```